# 1
# SnHgH2 GGA-PBEsol optimized geometry
# * E: -2.48 eV per atom
data_SnHgH2
_chemical_formula_sum 'Sn2 Hg2 H4'
_space_group_name_H-M_alt 'P 1'
_space_group_IT_number 1
_cell_length_a 7.131
_cell_length_b 7.131
_cell_length_c 7.131
_cell_angle_alpha 143.57
_cell_angle_beta 143.57
_cell_angle_gamma 52.47
loop_
_space_group_symop_operation_xyz
'x,y,z'
loop_
_atom_site_label
_atom_site_fract_x
_atom_site_fract_y
_atom_site_fract_z
Sn1 0.375 0.625 0.750
Sn2 0.625 0.375 0.250
Hg1 0.125 0.875 0.250
Hg2 0.875 0.125 0.750
H1 0.000 0.500 0.500
H2 0.500 0.000 0.000
H3 0.500 0.500 0.000
H4 0.500 0.500 0.500

# 2
# TaHg3H GGA-PBEsol optimized geometry
# * E: -2.83 eV per atom
data_TaHg3H
_chemical_formula_sum 'Ta1 Hg3 H1'
_space_group_name_H-M_alt 'P 1'
_space_group_IT_number 1
_cell_length_a 4.333
_cell_length_b 4.333
_cell_length_c 4.333
_cell_angle_alpha 90.00
_cell_angle_beta 90.00
_cell_angle_gamma 90.00
loop_
_space_group_symop_operation_xyz
'x,y,z'
loop_
_atom_site_label
_atom_site_fract_x
_atom_site_fract_y
_atom_site_fract_z
Ta1 0.000 0.000 0.000
Hg1 0.000 0.500 0.500
Hg2 0.500 0.000 0.500
Hg3 0.500 0.500 0.000
H1 0.500 0.500 0.500

# 3
# Ti3HgH GGA-PBEsol optimized geometry
# * E: -6.07 eV per atom
data_Ti3HgH
_chemical_formula_sum 'Ti3 Hg1 H1'
_space_group_name_H-M_alt 'P 1'
_space_group_IT_number 1
_cell_length_a 4.087
_cell_length_b 4.087
_cell_length_c 4.087
_cell_angle_alpha 90.00
_cell_angle_beta 90.00
_cell_angle_gamma 90.00
loop_
_space_group_symop_operation_xyz
'x,y,z'
loop_
_atom_site_label
_atom_site_fract_x
_atom_site_fract_y
_atom_site_fract_z
Ti1 0.000 0.000 0.500
Ti2 0.000 0.500 0.000
Ti3 0.500 0.000 0.000
Hg1 0.500 0.500 0.500
H1 0.000 0.000 0.000

# 4
# Ti2HgH2 GGA-PBEsol optimized geometry
# * E: -5.15 eV per atom
data_Ti2HgH2
_chemical_formula_sum 'Ti2 Hg1 H2'
_space_group_name_H-M_alt 'P 1'
_space_group_IT_number 1
_cell_length_a 5.247
_cell_length_b 5.247
_cell_length_c 5.247
_cell_angle_alpha 141.55
_cell_angle_beta 141.55
_cell_angle_gamma 55.51
loop_
_space_group_symop_operation_xyz
'x,y,z'
loop_
_atom_site_label
_atom_site_fract_x
_atom_site_fract_y
_atom_site_fract_z
Ti1 0.164 0.164 0.000
Ti2 0.836 0.836 0.000
Hg1 0.500 0.500 0.000
H1 0.250 0.750 0.500
H2 0.750 0.250 0.500

# 5
# TlHgH3 GGA-PBEsol optimized geometry
# * E: -2.24 eV per atom
data_TlHgH3
_chemical_formula_sum 'Tl1 Hg1 H3'
_space_group_name_H-M_alt 'P 1'
_space_group_IT_number 1
_cell_length_a 4.026
_cell_length_b 4.026
_cell_length_c 4.026
_cell_angle_alpha 90.00
_cell_angle_beta 90.00
_cell_angle_gamma 90.00
loop_
_space_group_symop_operation_xyz
'x,y,z'
loop_
_atom_site_label
_atom_site_fract_x
_atom_site_fract_y
_atom_site_fract_z
Tl1 0.000 0.000 0.000
Hg1 0.500 0.500 0.500
H1 0.000 0.500 0.500
H2 0.500 0.000 0.500
H3 0.500 0.500 0.000

# 6
# V3HgH GGA-PBEsol optimized geometry
# * E: -6.53 eV per atom
data_V3HgH
_chemical_formula_sum 'V3 Hg1 H1'
_space_group_name_H-M_alt 'P 1'
_space_group_IT_number 1
_cell_length_a 3.900
_cell_length_b 3.900
_cell_length_c 3.900
_cell_angle_alpha 90.00
_cell_angle_beta 90.00
_cell_angle_gamma 90.00
loop_
_space_group_symop_operation_xyz
'x,y,z'
loop_
_atom_site_label
_atom_site_fract_x
_atom_site_fract_y
_atom_site_fract_z
V1 0.000 0.000 0.500
V2 0.000 0.500 0.000
V3 0.500 0.000 0.000
Hg1 0.500 0.500 0.500
H1 0.000 0.000 0.000

Number 1: total magnetization 0.000 Bohr magnetons per cell. Number 2: total magnetization 0.000 Bohr magnetons per cell. Number 3: total magnetization 0.000 Bohr magnetons per cell. Number 4: total magnetization 0.183 Bohr magnetons per cell. Number 5: total magnetization 0.000 Bohr magnetons per cell. Number 6: total magnetization 0.001 Bohr magnetons per cell.